The following is a PBE calculation of a geometry-optimized PmTlIn6 structure, from the Alexandria database.

Output
- DOS(E_F) (states/eV/f.u.) = 4.48
- formation enthalpy at 0 K (meV per atom) = -166

Lattice parameters (Å, degrees): 6.807 6.807 4.676 90.00 90.00 90.00
Fractional positions:
Pm 0.000 0.000 0.000
Tl 0.500 0.500 0.000
In 0.000 0.500 0.000
In 0.250 0.250 0.500
In 0.250 0.750 0.500
In 0.500 0.000 0.000
In 0.750 0.250 0.500
In 0.750 0.750 0.500